1.
Here is a crystal of Ca3NbSn relaxed with PBEsol from Alexandria via LeMat-Bulk. Energies are from meta-GGA SCAN.

```
Ca3NbSn
1.0
5.405 0.000 0.000
0.000 5.405 0.000
0.000 0.000 5.405
Nb Ca Sn
1 3 1
direct
0.000 0.000 0.000 Nb
0.000 0.000 0.500 Ca
0.500 0.000 0.000 Ca
0.000 0.500 0.000 Ca
0.500 0.500 0.500 Sn
```

Summary:
ΔH_f (0 K): 0.860 eV per atom
energy relative to the lowest polymorph listed for this composition: 288.8 meV/atom
space-group type: No. 221

2.
Here is a crystal of YPI2O relaxed with PBEsol from Alexandria via LeMat-Bulk. Energies are from meta-GGA SCAN.

```
YPI2O
1.0
3.556 0.000 0.000
0.000 5.684 0.000
0.000 0.000 5.684
P I O Y
1 2 1 1
direct
0.000 0.000 0.000 P
0.000 0.500 0.000 I
0.000 0.000 0.500 I
0.500 0.000 0.000 O
0.500 0.500 0.500 Y
```

Summary:
energy relative to the lowest polymorph listed for this composition: 253.0 meV/atom
space-group type: No. 123

3.
Here is a crystal of Ca2TaBiOs relaxed with PBEsol from Alexandria via LeMat-Bulk. Energies are from meta-GGA SCAN.

```
Ca2TaBiOs
1.0
-1.433 -4.740 -1.739
5.235 -1.389 -0.528
0.016 -1.879 5.107
Ca Bi Ta Os
2 1 1 1
direct
0.000 0.000 0.500 Ca
0.000 0.500 0.000 Ca
0.500 0.000 0.000 Bi
0.000 0.000 0.000 Ta
0.500 0.500 0.500 Os
```

Summary:
ΔH_f (0 K): 1.801 eV per atom
space-group type: No. 123